CaSmS2O8 after structural relaxation. Source: the Alexandria database, functional PBE.

Unit cell a=5.1880 b=5.1880 c=7.5990 alpha=90.00 beta=90.00 gamma=120.00
Positions (direct):
Ca: 0.0000 0.0000 0.0000
Sm: 0.0000 0.0000 0.5000
S: 0.3333 0.6667 0.8070
S: 0.6667 0.3333 0.1930
O: 0.1764 0.3527 0.7418
O: 0.1764 0.8236 0.7418
O: 0.3333 0.6667 0.0004
O: 0.3527 0.1764 0.2582
O: 0.6473 0.8236 0.7418
O: 0.6667 0.3333 0.9996
O: 0.8236 0.1764 0.2582
O: 0.8236 0.6473 0.2582

Uncorrected formation energy   -1.99 eV/atom
E_tot   -0.4807 Ry per atom
Total moment   0.03 μB per atom